Computed, not measured: Si2Ge2Au after structural relaxation at the PBE-GGA level of DFT.

Cell and atoms, written as POSCAR:
```
Si2Ge2Au
1.0
-3.330 0.278 -0.927
-0.825 -2.551 2.199
-3.187 3.980 6.155
Si Ge Au
2 2 1
Cartesian
-4.297 1.561 2.932
-3.045 0.146 4.495
-5.031 1.768 5.630
-2.311 -0.061 1.796
0.000 0.000 0.000
```

## Properties
Relative energy among the computed polymorphs (eV per atom): 0.021
Total magnetic moment (μB/atom): 0.000
Uncorrected formation energy (eV/f.u.): 1.52